Compound: Sc2CdBPd
Source: the Alexandria database
Functional: PBE-GGA
Structure: relaxed

raw total energy = -4.318 eV/atom
formation energy from the elements = 772 meV/atom
theoretical density = 4.32 g/cm3
Fermi-level density of states = 4.9 states/eV/f.u.

Lattice parameters (Å, degrees): 4.951 4.951 5.012 90.00 90.00 90.00
Atoms (fractional coordinates):
Sc (0.000, 0.500, 0.000)
Sc (0.500, 0.000, 0.000)
Cd (0.000, 0.000, 0.500)
B (0.500, 0.500, 0.500)
Pd (0.000, 0.000, 0.000)


Compound: Sm3GaGe3
Source: the Alexandria database
Functional: PBE-GGA
Structure: relaxed

distance to the lowest polymorph of the same formula = 1.19 eV/f.u.
raw total energy = -5.038 eV/atom
formation energy from the elements = -604 meV/atom
theoretical density = 6.30 g/cm3
Fermi-level density of states = 1.3 states/eV/f.u.

Lattice parameters (Å, degrees): 8.641 8.641 6.018 90.00 90.00 120.00
Atoms (fractional coordinates):
Sm (0.061, 0.693, 0.250)
Sm (0.307, 0.369, 0.250)
Sm (0.369, 0.061, 0.750)
Sm (0.631, 0.939, 0.250)
Sm (0.693, 0.631, 0.750)
Sm (0.939, 0.307, 0.750)
Ga (0.333, 0.667, 0.750)
Ga (0.667, 0.333, 0.250)
Ge (0.059, 0.698, 0.750)
Ge (0.302, 0.362, 0.750)
Ge (0.362, 0.059, 0.250)
Ge (0.638, 0.941, 0.750)
Ge (0.698, 0.638, 0.250)
Ge (0.941, 0.302, 0.250)


Compound: YBiMoC2
Source: the Alexandria database
Functional: PBE-GGA
Structure: relaxed

raw total energy = -6.628 eV/atom
formation energy from the elements = 1297 meV/atom
theoretical density = 6.73 g/cm3
Fermi-level density of states = 3.4 states/eV/f.u.

Lattice parameters (Å, degrees): 4.229 4.229 5.765 90.00 90.00 90.00
Atoms (fractional coordinates):
Y (0.000, 0.000, 0.000)
Bi (0.500, 0.500, 0.000)
Mo (0.000, 0.000, 0.500)
C (0.000, 0.500, 0.500)
C (0.500, 0.000, 0.500)


Compound: Li3MnCl6
Source: the Alexandria database
Functional: PBE-GGA
Structure: relaxed

distance to the lowest polymorph of the same formula = 0.00 eV/f.u.
raw total energy = -4.029 eV/atom
energy relative to the elements, uncorrected = -1429 meV/atom
theoretical density = 2.27 g/cm3

Lattice parameters (Å, degrees): 6.211 7.008 10.968 90.00 117.81 90.00
Atoms (fractional coordinates):
Li (0.000, 0.000, 0.000)
Li (0.000, 0.500, 0.500)
Li (0.131, 0.116, 0.672)
Li (0.131, 0.384, 0.172)
Li (0.869, 0.616, 0.828)
Li (0.869, 0.884, 0.328)
Mn (0.500, 0.000, 0.500)
Mn (0.500, 0.500, 0.000)
Cl (0.111, 0.054, 0.245)
Cl (0.111, 0.446, 0.745)
Cl (0.247, 0.668, 0.063)
Cl (0.247, 0.832, 0.563)
Cl (0.398, 0.226, 0.071)
Cl (0.398, 0.274, 0.571)
Cl (0.602, 0.726, 0.429)
Cl (0.602, 0.774, 0.929)
Cl (0.753, 0.168, 0.437)
Cl (0.753, 0.332, 0.937)
Cl (0.889, 0.554, 0.255)
Cl (0.889, 0.946, 0.755)


Compound: CsNaSnBr2
Source: the Alexandria database
Functional: PBE-GGA
Structure: relaxed

raw total energy = -2.657 eV/atom
energy relative to the elements, uncorrected = -752 meV/atom
theoretical density = 3.29 g/cm3
Fermi-level density of states = 0.5 states/eV/f.u.

Lattice parameters (Å, degrees): 6.116 6.116 5.867 90.00 90.00 90.00
Atoms (fractional coordinates):
Cs (0.000, 0.000, 0.000)
Na (0.500, 0.500, 0.000)
Sn (0.500, 0.500, 0.500)
Br (0.000, 0.500, 0.500)
Br (0.500, 0.000, 0.500)


Compound: SnPSe2N
Source: the Alexandria database
Functional: PBE-GGA
Structure: relaxed

distance to the lowest polymorph of the same formula = 0.00 eV/f.u.
raw total energy = -4.571 eV/atom
energy relative to the elements, uncorrected = 370 meV/atom
theoretical density = 5.79 g/cm3
Fermi-level density of states = 3.3 states/eV/f.u.

Lattice parameters (Å, degrees): 5.214 5.214 3.395 90.00 90.00 90.00
Atoms (fractional coordinates):
Sn (0.000, 0.000, 0.000)
P (0.500, 0.500, 0.500)
Se (0.000, 0.500, 0.500)
Se (0.500, 0.000, 0.500)
N (0.500, 0.500, 0.000)